(1)
# Sr2FeRh

A geometry-optimized Sr2FeRh structure (GGA-PBE, Alexandria via LeMat-Bulk).

Calculated values
E_tot, eV/atom: -4.199
Theoretical density, g cm⁻³: 5.172
E_form, meV/atom: 596
Relative energy among the computed polymorphs, meV per atom: 526
Fermi-level density of states, states/eV per atom: 0.852

The structure in POSCAR format:
```
Sr2FeRh
1.0
-4.587 3.466 7.373
-4.302 -0.091 8.301
-1.502 2.216 8.959
Sr Fe Rh
2 1 1
Cartesian
-5.124 2.757 12.147 Sr
-0.071 0.038 0.169 Sr
-2.598 1.398 6.158 Fe
-7.793 4.193 18.475 Rh
```



(2)
# CaCePSe

A geometry-optimized CaCePSe structure (GGA-PBE, Alexandria via LeMat-Bulk).

Calculated values
E_tot, eV/atom: -5.856
Theoretical density, g cm⁻³: 4.632
Energy relative to the elements, uncorrected, meV/atom: -1648.8
Fermi-level density of states, states/eV per atom: 1.497

The structure in POSCAR format:
```
CaCePSe
1.0
-0.881 -2.298 -3.385
1.180 -4.012 -0.171
-5.861 -3.977 1.638
Ca Se P Ce
1 1 1 1
Cartesian
-2.704 -5.119 -0.995 Ca
-4.179 -7.718 -1.435 Se
-1.344 -2.557 -0.502 P
0.184 -6.346 -3.501 Ce
```



(3)
# Ac4PrCd

A geometry-optimized Ac4PrCd structure (GGA-PBE, Alexandria via LeMat-Bulk).

Calculated values
E_tot, eV/atom: -3.776
Theoretical density, g cm⁻³: 8.075
E_form, meV/atom: -88
Relative energy among the computed polymorphs, meV per atom: 0
Fermi-level density of states, states/eV per atom: 1.440

The structure in POSCAR format:
```
Ac4PrCd
1.0
3.978 0.000 0.000
0.000 3.978 0.000
0.000 0.000 15.090
Pr Cd Ac
1 1 4
Cartesian
0.000 0.000 0.000 Pr
1.989 1.989 7.545 Cd
1.989 1.989 2.606 Ac
1.989 1.989 12.484 Ac
0.000 0.000 9.666 Ac
0.000 0.000 5.424 Ac
```



(4)
# LaTb2Nd3Sm6

A geometry-optimized LaTb2Nd3Sm6 structure (GGA-PBE, Alexandria via LeMat-Bulk).

Calculated values
E_tot, eV/atom: -4.717
Theoretical density, g cm⁻³: 7.244
E_form, meV/atom: 17
Fermi-level density of states, states/eV per atom: 1.486

The structure in POSCAR format:
```
LaTb2Nd3Sm6
1.0
-0.759 6.240 -0.539
-1.970 -3.827 -4.613
-9.747 -1.648 6.972
Nd Tb Sm La
3 2 6 1
Cartesian
-6.641 -2.970 -0.447 Nd
-6.238 0.383 0.910 Nd
-5.834 3.735 2.266 Nd
-1.162 2.884 -1.897 Tb
-1.566 -0.470 -3.255 Tb
-9.570 -1.113 0.694 Sm
-4.470 1.397 -2.123 Sm
-9.164 2.254 2.057 Sm
-3.311 -1.489 -0.238 Sm
-8.006 -0.632 3.942 Sm
-2.906 1.878 1.125 Sm
0.000 0.000 0.000 La
```



Among the records above, which one has the highest E_tot?
Ac4PrCd



Number 1 is which compound?
Sr2FeRh



The lowest Fermi-level density of states belongs to which entry?
Sr2FeRh